(1)
Compound: TmSnB
Source: the Open Quantum Materials Database
Functional: PBE
Structure: optimized geometry

```
3
Lattice="-1.115 1.240 4.329 0.311 4.444 1.292 -3.852 2.461 0.788" Properties=species:S:1:pos:R:3 pbc="T T T"
B -1.164 2.036 1.602
Sn -3.492 6.109 4.807
Tm 0.000 0.000 0.000
```

Results
The value obtained for the relative energy among the computed polymorphs is 613 meV/atom. The value obtained for the density is 7.0 g cm⁻³. For the total magnetic moment, the calculation gives 0.0 μB per formula unit.

=====

(2)
Compound: USnB
Source: the Open Quantum Materials Database
Functional: PBE
Structure: optimized geometry

```
3
Lattice="0.000 3.078 3.078 3.078 0.000 3.078 3.078 3.078 0.000" Properties=species:S:1:pos:R:3 pbc="T T T"
B 0.000 0.000 0.000
Sn 1.539 1.539 1.539
U 4.618 4.618 4.618
```

Results
The value obtained for the relative energy among the computed polymorphs is 0 meV/atom. The value obtained for the density is 10.5 g cm⁻³. For the total magnetic moment, the calculation gives 2.8 μB per formula unit.

=====

(3)
Compound: USnB
Source: the Open Quantum Materials Database
Functional: PBE
Structure: optimized geometry

```
3
Lattice="0.000 3.280 3.280 3.280 0.000 3.280 3.280 3.280 0.000" Properties=species:S:1:pos:R:3 pbc="T T T"
B 1.640 1.640 1.640
Sn 4.919 4.919 4.919
U 0.000 0.000 0.000
```

Results
The value obtained for the relative energy among the computed polymorphs is 740 meV/atom. The value obtained for the density is 8.7 g cm⁻³. For the total magnetic moment, the calculation gives 1.8 μB per formula unit.

=====

(4)
Compound: SnB2W2
Source: the Open Quantum Materials Database
Functional: PBE
Structure: optimized geometry

```
5
Lattice="1.875 6.514 2.057 -3.394 -4.746 -4.017 -2.400 0.081 1.932" Properties=species:S:1:pos:R:3 pbc="T T T"
B 0.741 4.090 0.749
B -2.260 -2.322 -2.710
Sn 0.000 0.000 0.000
W -1.131 2.695 0.941
W -2.788 -0.846 -0.969
```

Results
The value obtained for the density is 13.0 g cm⁻³. As for the uncorrected energy: -8.58 eV per atom. For the total magnetic moment, the calculation gives 0.0 μB per formula unit.

=====

(5)
Compound: SnBW2
Source: the Open Quantum Materials Database
Functional: PBE
Structure: optimized geometry

```
8
Lattice="-1.285 -2.808 0.968 2.654 0.012 -1.851 7.720 0.283 11.070" Properties=species:S:1:pos:R:3 pbc="T T T"
B 0.000 0.000 0.000
B 3.860 0.142 5.535
Sn 1.958 -1.797 2.795
Sn 7.131 -0.715 7.391
W 1.996 -0.904 0.027
W 4.547 -0.810 3.685
W 4.543 -1.702 6.502
W 7.094 -1.609 10.159
```

Results
The value obtained for the density is 13.5 g cm⁻³. As for the uncorrected energy: -9.06 eV per atom. For the total magnetic moment, the calculation gives 0.0 μB per formula unit.

=====

(6)
Compound: ZnSnB
Source: the Open Quantum Materials Database
Functional: PBE
Structure: optimized geometry

```
3
Lattice="1.204 2.048 3.392 -1.789 3.602 0.988 -2.516 0.231 3.281" Properties=species:S:1:pos:R:3 pbc="T T T"
B 0.000 0.000 0.000
Sn -0.775 1.470 1.915
Zn -2.325 4.411 5.746
```

Results
The value obtained for the relative energy among the computed polymorphs is 0 meV/atom. The value obtained for the density is 6.4 g cm⁻³.

=====

(7)
Compound: ZnSnB
Source: the Open Quantum Materials Database
Functional: PBE
Structure: optimized geometry

```
3
Lattice="0.000 3.045 3.045 3.045 0.000 3.045 3.045 3.045 0.000" Properties=species:S:1:pos:R:3 pbc="T T T"
B 1.522 1.522 1.522
Sn 0.000 0.000 0.000
Zn 4.567 4.567 4.567
```

Results
The value obtained for the relative energy among the computed polymorphs is 351 meV/atom. The value obtained for the density is 5.7 g cm⁻³.

=====

(8)
Compound: Zr4SnB3
Source: the Open Quantum Materials Database
Functional: PBE
Structure: optimized geometry

```
16
Lattice="3.464 0.000 0.000 -1.732 3.000 0.000 0.000 0.000 26.434" Properties=species:S:1:pos:R:3 pbc="T T T"
B 0.000 0.000 0.000
B 1.732 1.000 2.891
B 1.732 1.000 10.326
B 0.000 0.000 13.217
B 0.000 2.000 16.108
B 0.000 2.000 23.542
Sn 0.000 2.000 6.608
Sn 1.732 1.000 19.825
Zr 0.000 2.000 1.463
Zr 0.000 0.000 4.144
Zr 0.000 0.000 9.072
Zr 0.000 2.000 11.754
Zr 1.732 1.000 14.679
Zr 0.000 0.000 17.361
Zr 0.000 0.000 22.289
Zr 1.732 1.000 24.971
```

Results
The value obtained for the density is 6.2 g cm⁻³. As for the uncorrected energy: -7.78 eV per atom. For the total magnetic moment, the calculation gives 0.0 μB per formula unit.

=====

(9)
Compound: ZrSn2B
Source: the Open Quantum Materials Database
Functional: PBE
Structure: optimized geometry

```
4
Lattice="0.000 3.465 3.465 3.465 0.000 3.465 3.465 3.465 0.000" Properties=species:S:1:pos:R:3 pbc="T T T"
B 3.465 3.465 3.465
Sn 0.000 0.000 0.000
Sn 5.198 5.198 5.198
Zr 1.733 1.733 1.733
```

Results
The value obtained for the density is 6.8 g cm⁻³. As for the uncorrected energy: -4.96 eV per atom. For the total magnetic moment, the calculation gives 0.6 μB per formula unit.

=====

(10)
Compound: ZrSnB
Source: the Open Quantum Materials Database
Functional: PBE
Structure: optimized geometry

```
3
Lattice="1.058 -4.009 0.797 -0.815 -1.686 3.784 -3.006 -2.938 0.399" Properties=species:S:1:pos:R:3 pbc="T T T"
B 0.000 0.000 0.000
Sn -0.691 -2.158 1.245
Zr -2.072 -6.474 3.735
```

Results
The value obtained for the relative energy among the computed polymorphs is 0 meV/atom. The value obtained for the density is 6.9 g cm⁻³. For the total magnetic moment, the calculation gives 0.0 μB per formula unit.

=====

(11)
Compound: Zr5Sn3B
Source: the Open Quantum Materials Database
Functional: PBE
Structure: optimized geometry

```
18
Lattice="8.576 0.000 0.000 -4.288 7.427 0.000 0.000 0.000 5.827" Properties=species:S:1:pos:R:3 pbc="T T T"
B 0.000 0.000 0.000
B 0.000 0.000 2.913
Sn 5.157 0.000 1.457
Sn 1.710 2.961 1.457
Sn -2.578 4.466 1.457
Sn 3.419 0.000 4.370
Sn -1.710 2.961 4.370
Sn 2.578 4.466 4.370
Zr 4.288 2.476 0.000
Zr 0.000 4.951 0.000
Zr 1.968 0.000 1.457
Zr -0.984 1.704 1.457
Zr 3.304 5.723 1.457
Zr 4.288 2.476 2.913
Zr 0.000 4.951 2.913
Zr 6.608 0.000 4.370
Zr 0.984 1.704 4.370
Zr -3.304 5.723 4.370
```

Results
The value obtained for the density is 7.4 g cm⁻³. As for the uncorrected energy: -7.50 eV per atom. For the total magnetic moment, the calculation gives 0.0 μB per formula unit.

=====

(12)
Compound: Zr3SnB2
Source: the Open Quantum Materials Database
Functional: PBE
Structure: optimized geometry

```
12
Lattice="3.461 0.000 0.000 -1.731 2.998 0.000 0.000 0.000 20.730" Properties=species:S:1:pos:R:3 pbc="T T T"
B 0.000 1.998 1.468
B 0.000 1.998 8.897
B 1.731 0.999 11.833
B 1.731 0.999 19.262
Sn 0.000 0.000 5.183
Sn 0.000 0.000 15.548
Zr 0.000 0.000 0.000
Zr 1.731 0.999 2.738
Zr 1.731 0.999 7.627
Zr 0.000 0.000 10.365
Zr 0.000 1.998 13.103
Zr 0.000 1.998 17.992
```

Results
The value obtained for the density is 6.4 g cm⁻³. As for the uncorrected energy: -7.69 eV per atom. For the total magnetic moment, the calculation gives 0.0 μB per formula unit.

=====

(13)
Compound: SrTaB4
Source: the Open Quantum Materials Database
Functional: PBE
Structure: optimized geometry

```
6
Lattice="-1.830 2.483 0.547 0.397 -1.038 -2.929 -6.195 -4.753 0.844" Properties=species:S:1:pos:R:3 pbc="T T T"
B -2.397 0.305 -0.433
B -1.654 -0.869 -1.592
B -5.974 -2.439 0.054
B -5.232 -3.613 -1.105
Sr -3.098 -2.376 0.422
Ta 0.000 0.000 0.000
```

Results
The value obtained for the density is 7.8 g cm⁻³. As for the uncorrected energy: -7.10 eV per atom. For the total magnetic moment, the calculation gives 0.0 μB per formula unit.

=====

(14)
Compound: SrTaB
Source: the Open Quantum Materials Database
Functional: PBE
Structure: optimized geometry

```
3
Lattice="3.925 2.476 0.521 0.530 2.782 3.714 3.049 -1.134 3.351" Properties=species:S:1:pos:R:3 pbc="T T T"
B 1.876 1.031 1.896
Sr 0.000 0.000 0.000
Ta 5.628 3.093 5.689
```

Results
The value obtained for the relative energy among the computed polymorphs is 1450 meV/atom. The value obtained for the density is 6.4 g cm⁻³. For the total magnetic moment, the calculation gives 2.0 μB per formula unit.

=====

(15)
Compound: SrTaB
Source: the Open Quantum Materials Database
Functional: PBE
Structure: optimized geometry

```
3
Lattice="0.000 3.094 3.094 3.094 0.000 3.094 3.094 3.094 0.000" Properties=species:S:1:pos:R:3 pbc="T T T"
B 0.000 0.000 0.000
Sr 1.547 1.547 1.547
Ta 4.640 4.640 4.640
```

Results
The value obtained for the relative energy among the computed polymorphs is 0 meV/atom. The value obtained for the density is 7.8 g cm⁻³. For the total magnetic moment, the calculation gives 0.4 μB per formula unit.

=====

(16)
Compound: SrTbB4
Source: the Open Quantum Materials Database
Functional: PBE
Structure: optimized geometry

```
6
Lattice="2.560 -2.526 -3.960 3.362 -3.075 2.803 -5.122 0.895 -1.257" Properties=species:S:1:pos:R:3 pbc="T T T"
B 0.644 -1.878 -1.916
B 1.114 -2.218 1.452
B -0.314 -2.488 -3.866
B 0.157 -2.828 -0.498
Sr 0.000 0.000 0.000
Tb 2.961 -2.801 -0.578
```

Results
The value obtained for the relative energy among the computed polymorphs is 66 meV/atom. The value obtained for the density is 6.0 g cm⁻³. For the total magnetic moment, the calculation gives 0.0 μB per formula unit.

=====

(17)
Compound: SrTbB4
Source: the Open Quantum Materials Database
Functional: PBE
Structure: optimized geometry

```
6
Lattice="-1.899 2.493 -1.099 -0.800 -3.141 -0.725 -4.547 -0.430 6.881" Properties=species:S:1:pos:R:3 pbc="T T T"
B -2.755 0.500 0.875
B -2.389 -1.378 1.000
B -4.858 0.301 4.057
B -4.492 -1.577 4.182
Sr 0.000 0.000 0.000
Tb -2.274 -0.215 3.440
```

Results
The value obtained for the relative energy among the computed polymorphs is 0 meV/atom. The value obtained for the density is 6.1 g cm⁻³. For the total magnetic moment, the calculation gives 0.0 μB per formula unit.

=====

(18)
Compound: SrTcB4
Source: the Open Quantum Materials Database
Functional: PBE
Structure: optimized geometry

```
6
Lattice="-2.800 -2.819 2.865 -1.040 3.229 3.534 -0.738 -0.966 -4.745" Properties=species:S:1:pos:R:3 pbc="T T T"
B -2.207 -1.193 1.010
B -1.261 1.824 1.233
B -3.317 -2.380 0.420
B -2.370 0.637 0.644
Sr -1.920 0.205 3.200
Tc 0.000 0.000 0.000
```

Results
The value obtained for the relative energy among the computed polymorphs is 209 meV/atom. The value obtained for the density is 5.9 g cm⁻³. For the total magnetic moment, the calculation gives 0.0 μB per formula unit.

=====

(19)
Compound: SrTcB4
Source: the Open Quantum Materials Database
Functional: PBE
Structure: optimized geometry

```
6
Lattice="3.100 0.000 0.000 -1.550 2.684 0.000 0.000 0.000 7.703" Properties=species:S:1:pos:R:3 pbc="T T T"
B 1.550 0.895 2.238
B 0.000 1.790 2.238
B 1.550 0.895 5.465
B 0.000 1.790 5.465
Sr 0.000 0.000 0.000
Tc 0.000 0.000 3.851
```

Results
The value obtained for the relative energy among the computed polymorphs is 0 meV/atom. The value obtained for the density is 5.9 g cm⁻³. For the total magnetic moment, the calculation gives 0.4 μB per formula unit.

=====

(20)
Compound: SrThB
Source: the Open Quantum Materials Database
Functional: PBE
Structure: optimized geometry

```
3
Lattice="0.000 3.366 3.366 3.366 0.000 3.366 3.366 3.366 0.000" Properties=species:S:1:pos:R:3 pbc="T T T"
B 0.000 0.000 0.000
Sr 1.683 1.683 1.683
Th 5.050 5.050 5.050
```

Results
The value obtained for the density is 7.2 g cm⁻³. As for the uncorrected energy: -4.70 eV per atom. For the total magnetic moment, the calculation gives 0.1 μB per formula unit.